A plane-wave DFT calculation with PBE-GGA was carried out for a geometry-optimized TmMgZnRu structure.

* formation energy from the elements: -73 kJ/mol of formula units
* symmetry: No. 216
* total moment: 0.00 μB per formula unit
* electronic total energy: -4.342 eV/atom

Lattice parameters (Å, degrees): 4.692 4.692 4.692 60.00 60.00 60.00
Element x y z (fractional)
Ru1 0.000 0.000 0.000
Tm1 0.750 0.750 0.750
Mg1 0.250 0.250 0.250
Zn1 0.500 0.500 0.500

A plane-wave DFT calculation with PBE-GGA was carried out for a geometry-optimized MgURu2 structure.

* formation energy from the elements: -119 kJ/mol of formula units
* symmetry: No. 123
* total moment: 0.33 μB per formula unit
* electronic total energy: -8.167 eV/atom

Lattice parameters (Å, degrees): 3.474 4.405 4.405 90.00 90.00 90.00
Element x y z (fractional)
U1 0.500 0.500 0.500
Mg1 0.500 0.000 0.000
Ru1 0.000 0.000 0.500
Ru2 0.000 0.500 0.000

A plane-wave DFT calculation with PBE-GGA was carried out for a geometry-optimized MgURu2 structure.

* formation energy from the elements: -86 kJ/mol of formula units
* symmetry: No. 123
* total moment: 0.82 μB per formula unit
* electronic total energy: -8.081 eV/atom

Lattice parameters (Å, degrees): 3.328 3.328 6.369 90.00 90.00 90.00
Element x y z (fractional)
U1 0.500 0.500 0.000
Ru1 0.000 0.000 0.769
Ru2 0.000 0.000 0.231
Mg1 0.500 0.500 0.500

A plane-wave DFT calculation with PBE-GGA was carried out for a geometry-optimized MgU2Ru4 structure.

* formation energy from the elements: -156 kJ/mol of formula units
* symmetry: No. 65
* total moment: 0.00 μB per formula unit
* electronic total energy: -8.984 eV/atom

Lattice parameters (Å, degrees): 3.910 5.688 5.688 98.32 90.00 90.00
Element x y z (fractional)
U1 0.000 0.198 0.802
U2 0.000 0.802 0.198
Ru1 0.500 0.000 0.500
Ru2 0.000 0.246 0.246
Ru3 0.500 0.500 0.000
Ru4 0.000 0.754 0.754
Mg1 0.500 0.500 0.500